A plane-wave DFT calculation with GGA-PBE was carried out for a geometry-optimized La2Dy8In structure.

Cell lengths 9.421, 9.421, 7.909 Å; angles 104.52, 104.52, 30.67 degrees
Sites, in units of the cell vectors:
La  0.221  0.221  0.133
La  0.779  0.779  0.867
Dy  0.043  0.043  0.226
Dy  0.133  0.133  0.672
Dy  0.321  0.321  0.593
Dy  0.412  0.412  0.058
Dy  0.588  0.588  0.942
Dy  0.679  0.679  0.407
Dy  0.867  0.867  0.328
Dy  0.957  0.957  0.774
In  0.500  0.500  0.500

Properties
Space group   C2/m (12)
Formation enthalpy at 0 K   -0.05 eV/atom